1.
First-principles (GGA-PBE) data for a relaxed ScOs2Cl crystal, as listed in Alexandria via LeMat-Bulk.

As for the total energy: -30.943 eV/f.u. The density of states at the Fermi level comes out at 0.664 states/eV/atom. The formation energy from raw total energies comes out at -0.08 eV/atom. The energy above the most stable polymorph in this dataset is 0.0376 eV per atom.

```
data_ScOs2Cl
_chemical_formula_sum 'Sc2 Os4 Cl2'
_cell_length_a 7.973
_cell_length_b 3.066
_cell_length_c 6.978
_cell_angle_alpha 90.00
_cell_angle_beta 92.49
_cell_angle_gamma 90.00
_space_group_name_H-M_alt 'C 1 m 1'
_space_group_IT_number 8
_space_group_name_Hall 'C -2y'
loop_
_atom_site_label
_atom_site_fract_x
_atom_site_fract_y
_atom_site_fract_z
_atom_site_occupancy
Sc1 0.000 0.000 0.000 1
Os1 0.211 0.500 0.233 1
Os2 0.441 0.000 0.359 1
Cl1 0.421 0.000 0.720 1
```

***

2.
First-principles (GGA-PBE) data for a relaxed TeP2Pt crystal, as listed in Alexandria via LeMat-Bulk.

As for the total energy: -19.487 eV/f.u. The density of states at the Fermi level comes out at 0.521 states/eV/atom. The formation energy from raw total energies comes out at 0.13 eV/atom.

```
data_TeP2Pt
_chemical_formula_sum 'Te2 P4 Pt2'
_cell_length_a 3.730
_cell_length_b 3.739
_cell_length_c 11.791
_cell_angle_alpha 90.00
_cell_angle_beta 90.00
_cell_angle_gamma 90.00
_space_group_name_H-M_alt 'I m m 2'
_space_group_IT_number 44
_space_group_name_Hall 'I 2 -2'
loop_
_atom_site_label
_atom_site_fract_x
_atom_site_fract_y
_atom_site_fract_z
_atom_site_occupancy
Te1 0.000 0.000 0.000 1
P1 0.000 0.000 0.681 1
P2 0.000 0.500 0.800 1
Pt1 0.000 0.500 0.328 1
```

***

Copy entry 1 word for word.
First-principles (GGA-PBE) data for a relaxed ScOs2Cl crystal, as listed in Alexandria via LeMat-Bulk.

As for the total energy: -30.943 eV/f.u. The density of states at the Fermi level comes out at 0.664 states/eV/atom. The formation energy from raw total energies comes out at -0.08 eV/atom. The energy above the most stable polymorph in this dataset is 0.0376 eV per atom.

```
data_ScOs2Cl
_chemical_formula_sum 'Sc2 Os4 Cl2'
_cell_length_a 7.973
_cell_length_b 3.066
_cell_length_c 6.978
_cell_angle_alpha 90.00
_cell_angle_beta 92.49
_cell_angle_gamma 90.00
_space_group_name_H-M_alt 'C 1 m 1'
_space_group_IT_number 8
_space_group_name_Hall 'C -2y'
loop_
_atom_site_label
_atom_site_fract_x
_atom_site_fract_y
_atom_site_fract_z
_atom_site_occupancy
Sc1 0.000 0.000 0.000 1
Os1 0.211 0.500 0.233 1
Os2 0.441 0.000 0.359 1
Cl1 0.421 0.000 0.720 1
```

***

Which of these has the lowest total energy? ScOs2Cl

***

formation energy from raw total energies of number 1 (ScOs2Cl)? -0.08 eV/atom